# 1
Below is a relaxed structure of MgCo2Ni2, with properties calculated at the GGA-PBE level. Values from VASP.

The structure in Quantum ESPRESSO input format:
```
&SYSTEM
  ibrav = 0, nat = 5, ntyp = 3
/
ATOMIC_SPECIES
Mg 24.30 Mg.upf
Co 58.93 Co.upf
Ni 58.69 Ni.upf
CELL_PARAMETERS angstrom
-1.723 1.723 5.610
1.723 -1.723 5.610
1.723 1.723 -5.610
ATOMIC_POSITIONS angstrom
Mg 0.000 0.000 0.000
Co 1.723 0.000 2.805
Co 0.000 1.723 2.805
Ni 0.000 0.000 4.456
Ni 0.000 0.000 6.763
```

Summary:
polymorph energy (0 for the lowest one): 91 meV per atom
SG: I4/mmm
calculated volume: 13.3 A^3/atom
DFT formation energy: 16 kJ per mole of atoms
energy: -5.30 eV per atom

***

# 2
Below is a relaxed structure of ScMoRh2, with properties calculated at the GGA-PBE level. Values from VASP.

The structure in Quantum ESPRESSO input format:
```
&SYSTEM
  ibrav = 0, nat = 4, ntyp = 3
/
ATOMIC_SPECIES
Sc 44.96 Sc.upf
Mo 95.94 Mo.upf
Rh 102.91 Rh.upf
CELL_PARAMETERS angstrom
4.537 -1.420 0.000
4.537 1.420 0.000
-0.860 0.000 4.949
ATOMIC_POSITIONS angstrom
Sc 0.000 0.000 0.000
Mo 4.107 0.000 2.474
Rh 1.638 0.000 3.648
Rh 6.576 0.000 1.300
```

Summary:
SG: C2/m
calculated volume: 15.9 A^3/atom
DFT formation energy: -17 kJ per mole of atoms
energy: -8.15 eV per atom

***

# 3
Below is a relaxed structure of ZrAl2Mo, with properties calculated at the GGA-PBE level. Values from VASP.

The structure in Quantum ESPRESSO input format:
```
&SYSTEM
  ibrav = 0, nat = 4, ntyp = 3
/
ATOMIC_SPECIES
Zr 91.22 Zr.upf
Al 26.98 Al.upf
Mo 95.94 Mo.upf
CELL_PARAMETERS angstrom
3.430 0.000 0.000
0.000 3.430 0.000
0.000 0.000 6.027
ATOMIC_POSITIONS angstrom
Zr 0.000 0.000 0.000
Al 0.000 0.000 3.187
Al 1.715 1.715 1.785
Mo 1.715 1.715 4.607
```

Summary:
polymorph energy (0 for the lowest one): 114 meV per atom
SG: P4mm
calculated volume: 17.7 A^3/atom
DFT formation energy: -15 kJ per mole of atoms
energy: -6.87 eV per atom

***

# 4
Below is a relaxed structure of CrAsBr2, with properties calculated at the GGA-PBE level. Values from VASP.

The structure in Quantum ESPRESSO input format:
```
&SYSTEM
  ibrav = 0, nat = 4, ntyp = 3
/
ATOMIC_SPECIES
Cr 52.00 Cr.upf
As 74.92 As.upf
Br 79.90 Br.upf
CELL_PARAMETERS angstrom
5.104 0.000 0.000
0.000 3.816 0.000
-1.497 0.000 5.156
ATOMIC_POSITIONS angstrom
Cr 0.000 0.000 0.000
As 0.384 1.908 1.557
Br 1.080 0.000 4.844
Br 3.501 1.908 3.086
```

Summary:
polymorph energy (0 for the lowest one): 0 meV per atom
SG: Pm
calculated volume: 25.1 A^3/atom
energy: -4.57 eV per atom

***

Question: The lowest energy belongs to which entry?
Answer: ScMoRh2

***

Repeat the second record exactly.
Below is a relaxed structure of ScMoRh2, with properties calculated at the GGA-PBE level. Values from VASP.

The structure in Quantum ESPRESSO input format:
```
&SYSTEM
  ibrav = 0, nat = 4, ntyp = 3
/
ATOMIC_SPECIES
Sc 44.96 Sc.upf
Mo 95.94 Mo.upf
Rh 102.91 Rh.upf
CELL_PARAMETERS angstrom
4.537 -1.420 0.000
4.537 1.420 0.000
-0.860 0.000 4.949
ATOMIC_POSITIONS angstrom
Sc 0.000 0.000 0.000
Mo 4.107 0.000 2.474
Rh 1.638 0.000 3.648
Rh 6.576 0.000 1.300
```

Summary:
SG: C2/m
calculated volume: 15.9 A^3/atom
DFT formation energy: -17 kJ per mole of atoms
energy: -8.15 eV per atom

***

Question: Number 3 is which compound?
Answer: ZrAl2Mo